{"formula": "HoGa2Pd5", "functional": "PBE", "state": "optimized geometry", "lattice_angstrom": [[-1.9059, 3.5475, 5.1491], [1.9059, -3.5475, 5.1491], [1.9059, 3.5475, -5.1491]], "species": ["Ho", "Ga", "Ga", "Pd", "Pd", "Pd", "Pd", "Pd"], "frac_coords": [[0.0000, 0.0000, 0.0000], [0.2584, 0.7584, 0.5000], [0.7416, 0.2416, 0.5000], [0.1572, 0.3622, 0.7951], [0.4329, 0.6378, 0.7951], [0.5000, 0.0000, 0.5000], [0.5671, 0.3622, 0.2049], [0.8428, 0.6378, 0.2049]], "magnetic_moment_mub_per_atom": 0.000, "space_group": "No. 71", "ef_ev_per_atom": -0.68, "e_tot_ev_per_atom": -5.2551}

***

{"formula": "Ho2Ga5Pd3", "functional": "PBE", "state": "optimized geometry", "lattice_angstrom": [[2.1879, -12.3956, 0.0000], [2.1879, 12.3956, 0.0000], [0.0000, 0.0000, 6.7162]], "species": ["Ho", "Ho", "Ho", "Ho", "Ga", "Ga", "Ga", "Ga", "Ga", "Ga", "Ga", "Ga", "Ga", "Ga", "Pd", "Pd", "Pd", "Pd", "Pd", "Pd"], "frac_coords": [[0.0162, 0.9838, 0.5000], [0.3255, 0.6745, 0.4766], [0.6745, 0.3255, 0.9766], [0.9838, 0.0162, 0.0000], [0.1041, 0.8959, 0.1661], [0.2063, 0.7937, 0.6731], [0.2083, 0.7917, 0.2672], [0.3775, 0.6225, 0.0093], [0.4494, 0.5506, 0.3164], [0.5506, 0.4494, 0.8164], [0.6225, 0.3775, 0.5093], [0.7917, 0.2083, 0.7672], [0.7937, 0.2063, 0.1731], [0.8959, 0.1041, 0.6661], [0.1058, 0.8942, 0.7704], [0.2747, 0.7253, 0.9677], [0.4478, 0.5522, 0.7142], [0.5522, 0.4478, 0.2142], [0.7253, 0.2747, 0.4677], [0.8942, 0.1058, 0.2704]], "polymorph_energy_ev_per_fu": 0.04, "magnetic_moment_mub_per_atom": 0.000, "space_group": "No. 36", "ef_ev_per_atom": -0.75, "e_tot_ev_per_atom": -4.7371}

***

{"formula": "HoGa2Pd", "functional": "PBE", "state": "optimized geometry", "lattice_angstrom": [[3.2854, 0.0000, 0.0000], [0.0000, 3.2854, 0.0000], [0.0000, 0.0000, 6.8368]], "species": ["Ho", "Ga", "Ga", "Pd"], "frac_coords": [[0.0000, 0.0000, 0.0000], [0.5000, 0.5000, 0.2962], [0.5000, 0.5000, 0.7038], [0.0000, 0.0000, 0.5000]], "magnetic_moment_mub_per_atom": 0.030, "space_group": "No. 123", "ef_ev_per_atom": -0.59, "e_tot_ev_per_atom": -4.5489}

***

{"formula": "Ho6GaPd2", "functional": "PBE", "state": "optimized geometry", "lattice_angstrom": [[-4.6888, 4.8165, 5.1036], [4.6888, -4.8165, 5.1036], [4.6888, 4.8165, -5.1036]], "species": ["Ho", "Ho", "Ho", "Ho", "Ho", "Ho", "Ho", "Ho", "Ho", "Ho", "Ho", "Ho", "Ga", "Ga", "Pd", "Pd", "Pd", "Pd"], "frac_coords": [[0.0462, 0.2391, 0.8071], [0.1792, 0.2829, 0.4621], [0.1792, 0.7171, 0.8963], [0.3295, 0.0323, 0.7027], [0.3295, 0.6268, 0.2973], [0.4320, 0.2391, 0.1929], [0.5680, 0.7609, 0.8071], [0.6705, 0.3732, 0.7027], [0.6705, 0.9677, 0.2973], [0.8208, 0.2829, 0.1037], [0.8208, 0.7171, 0.5379], [0.9538, 0.7609, 0.1929], [0.0000, 0.0000, 0.0000], [0.5000, 0.5000, 0.0000], [0.1341, 0.6341, 0.5000], [0.3424, 0.0000, 0.3424], [0.6576, 0.0000, 0.6576], [0.8659, 0.3659, 0.5000]], "magnetic_moment_mub_per_atom": 0.000, "space_group": "No. 71", "ef_ev_per_atom": -0.56, "e_tot_ev_per_atom": -5.1014}

***

{"formula": "HoGaPd6", "functional": "PBE", "state": "optimized geometry", "lattice_angstrom": [[4.0285, -2.7092, 0.0000], [4.0285, 2.7092, 0.0000], [-2.7433, 0.0000, 6.8077]], "species": ["Ho", "Ga", "Pd", "Pd", "Pd", "Pd", "Pd", "Pd"], "frac_coords": [[0.0000, 0.0000, 0.0000], [0.5000, 0.5000, 0.5000], [0.0596, 0.5726, 0.2095], [0.1576, 0.1576, 0.4449], [0.4274, 0.9404, 0.7905], [0.5726, 0.0596, 0.2095], [0.8424, 0.8424, 0.5551], [0.9404, 0.4274, 0.7905]], "polymorph_energy_ev_per_fu": 2.41, "magnetic_moment_mub_per_atom": 0.000, "space_group": "No. 12", "ef_ev_per_atom": -0.38, "e_tot_ev_per_atom": -5.2205}

***

{"formula": "Ho5GaPd4", "functional": "PBE", "state": "optimized geometry", "lattice_angstrom": [[3.5031, 0.0000, 0.0000], [0.0000, 3.5031, 0.0000], [0.0000, 0.0000, 17.5651]], "species": ["Ho", "Ho", "Ho", "Ho", "Ho", "Ga", "Pd", "Pd", "Pd", "Pd"], "frac_coords": [[0.0000, 0.0000, 0.0000], [0.0000, 0.0000, 0.1986], [0.0000, 0.0000, 0.3962], [0.0000, 0.0000, 0.6038], [0.0000, 0.0000, 0.8014], [0.5000, 0.5000, 0.5000], [0.5000, 0.5000, 0.0993], [0.5000, 0.5000, 0.2984], [0.5000, 0.5000, 0.7016], [0.5000, 0.5000, 0.9007]], "magnetic_moment_mub_per_atom": 0.000, "space_group": "No. 123", "ef_ev_per_atom": -0.84, "e_tot_ev_per_atom": -5.5090}

***

{"formula": "Ho2GaPd", "functional": "PBE", "state": "optimized geometry", "lattice_angstrom": [[5.9127, 0.0000, 0.0000], [0.0000, 4.4622, 0.0000], [-2.6416, 0.0000, 6.9213]], "species": ["Ho", "Ho", "Ho", "Ho", "Ga", "Ga", "Pd", "Pd"], "frac_coords": [[0.1753, 0.2500, 0.4105], [0.2803, 0.7500, 0.0748], [0.7197, 0.2500, 0.9252], [0.8247, 0.7500, 0.5895], [0.3813, 0.7500, 0.6976], [0.6187, 0.2500, 0.3024], [0.1580, 0.2500, 0.7960], [0.8420, 0.7500, 0.2040]], "magnetic_moment_mub_per_atom": 0.000, "space_group": "No. 11", "ef_ev_per_atom": -0.75, "e_tot_ev_per_atom": -5.0972}

***

{"formula": "HoGa2Pd9", "functional": "PBE", "state": "optimized geometry", "lattice_angstrom": [[4.0184, 0.0000, 0.0000], [0.0000, 4.0184, 0.0000], [0.0000, 0.0000, 11.7971]], "species": ["Ho", "Ga", "Ga", "Pd", "Pd", "Pd", "Pd", "Pd", "Pd", "Pd", "Pd", "Pd"], "frac_coords": [[0.0000, 0.0000, 0.0000], [0.0000, 0.0000, 0.3420], [0.0000, 0.0000, 0.6580], [0.0000, 0.5000, 0.1800], [0.0000, 0.5000, 0.5000], [0.0000, 0.5000, 0.8200], [0.5000, 0.0000, 0.1800], [0.5000, 0.0000, 0.5000], [0.5000, 0.0000, 0.8200], [0.5000, 0.5000, 0.0000], [0.5000, 0.5000, 0.3389], [0.5000, 0.5000, 0.6611]], "magnetic_moment_mub_per_atom": 0.000, "space_group": "No. 123", "ef_ev_per_atom": -0.60, "e_tot_ev_per_atom": -5.3770}

***

Please write out number 3 again, unchanged.
{"formula": "HoGa2Pd", "functional": "PBE", "state": "optimized geometry", "lattice_angstrom": [[3.2854, 0.0000, 0.0000], [0.0000, 3.2854, 0.0000], [0.0000, 0.0000, 6.8368]], "species": ["Ho", "Ga", "Ga", "Pd"], "frac_coords": [[0.0000, 0.0000, 0.0000], [0.5000, 0.5000, 0.2962], [0.5000, 0.5000, 0.7038], [0.0000, 0.0000, 0.5000]], "magnetic_moment_mub_per_atom": 0.030, "space_group": "No. 123", "ef_ev_per_atom": -0.59, "e_tot_ev_per_atom": -4.5489}